Version P
Computed, not measured: a crystal of ScCrIr2 relaxed with PBEsol at the meta-GGA SCAN level of DFT.

Cell lengths 9.244, 2.815, 4.628 Å; angles 90.00, 100.63, 90.00 degrees
Space group Cm (No. 8)
Unique sites:
Sc (0.000, 0.000, 0.000)
Cr (0.229, 0.000, 0.676)
Ir (0.253, 0.500, 0.222)
Ir (0.496, 0.000, 0.509)



Version Q
Computed, not measured: a crystal of ScCrIr2 relaxed with PBEsol at the meta-GGA SCAN level of DFT.

Cell lengths 4.555, 2.845, 4.812 Å; angles 90.00, 108.69, 90.00 degrees
Space group P2/m (No. 10)
Unique sites:
Sc (0.000, 0.000, 0.000)
Cr (0.000, 0.500, 0.500)
Ir (0.500, 0.000, 0.500)
Ir (0.500, 0.500, 0.000)



Version R
Computed, not measured: a crystal of ScCrIr2 relaxed with PBEsol at the meta-GGA SCAN level of DFT.

Cell lengths 2.958, 4.372, 9.188 Å; angles 90.00, 90.00, 90.00 degrees
Space group Imm2 (No. 44)
Unique sites:
Sc (0.000, 0.000, 0.000)
Cr (0.000, 0.500, 0.763)
Ir (0.000, 0.000, 0.484)
Ir (0.000, 0.500, 0.242)



Which one sits at the bottom of the stability order? version R does.